This record from the Alexandria database describes a relaxed Mg2SnW crystal. The functional is PBE-GGA.

The structure belongs to space group P2_1/m (No. 11); the cell edges are 7.370, 3.375 and 7.462 Å and the angles 90.00°, 113.89° and 90.00°. The distinct sites, in fractional coordinates, are Mg at (0.001, 0.250, 0.168), Mg at (0.224, 0.750, 0.575), Sn at (0.372, 0.750, 0.257) and W at (0.359, 0.250, 0.931).

Its formation energy is 0.199 eV per atom.